# CaYTc2C

CaYTc2C at its PBEsol-relaxed geometry (SCAN, Alexandria via LeMat-Bulk).

For the formation energy, the calculation gives 0.96 eV/f.u. The final energy is -23.353 eV per atom.

Cell: 4.1551 4.1551 4.8118 Å, 90.00 90.00 90.00°
Closest atoms and distances in Å follow each position.
Fractional coordinates of all 5 atoms:
Ca (0.0000, 0.0000, 0.0000)  4 Y 2.94, 8 Tc 3.18
Y (0.5000, 0.5000, 0.0000)  2 C 2.41
Tc (0.0000, 0.5000, 0.5000)  2 C 2.08
Tc (0.5000, 0.0000, 0.5000)  2 C 2.08
C (0.5000, 0.5000, 0.5000)  4 Tc 2.08

=====

# Th2BiTe

Th2BiTe at its PBEsol-relaxed geometry (SCAN, Alexandria via LeMat-Bulk).

Its raw formation energy is -3.5 eV/f.u. The final energy is -77.782 eV per atom.

Cell: 5.4368 5.4368 5.4368 Å, 60.00 60.00 60.00°
Closest atoms and distances in Å follow each position.
Fractional coordinates of all 4 atoms:
Th (0.2500, 0.2500, 0.2500)  4 Bi 3.33, 4 Te 3.33
Th (0.7500, 0.7500, 0.7500)  4 Te 3.33, 4 Bi 3.33
Bi (0.0000, 0.0000, 0.0000)  8 Th 3.33
Te (0.5000, 0.5000, 0.5000)  8 Th 3.33

=====

# ZnWCl

ZnWCl at its PBEsol-relaxed geometry (SCAN, Alexandria via LeMat-Bulk).

Its raw formation energy is 2.3 eV/f.u. As for the energy above the lowest structure with this stoichiometry: 0 meV/atom. The final energy is -29.634 eV per atom.

Cell: 4.3672 4.3672 2.7471 Å, 90.00 90.00 120.00°
Closest atoms and distances in Å follow each position.
Fractional coordinates of all 3 atoms:
Zn (0.0000, 0.0000, 0.0000)  2 Zn 2.75, 6 Cl 2.87, 6 W 2.87
W (0.6667, 0.3333, 0.5000)  3 Cl 2.52, 2 W 2.75
Cl (0.3333, 0.6667, 0.5000)  3 W 2.52, 2 Cl 2.75

=====

# SrTl2Pb

SrTl2Pb at its PBEsol-relaxed geometry (SCAN, Alexandria via LeMat-Bulk).

For the formation energy, the calculation gives -1.32 eV/f.u. The final energy is -61.022 eV per atom.

Cell: 4.0382 4.0382 7.3491 Å, 90.00 90.00 90.00°
Closest atoms and distances in Å follow each position.
Fractional coordinates of all 4 atoms:
Sr (0.0000, 0.0000, 0.0000)  8 Tl 3.50, 2 Pb 3.67
Tl (0.5000, 0.5000, 0.2749)  4 Pb 3.30, 1 Tl 3.31, 4 Sr 3.50
Tl (0.5000, 0.5000, 0.7251)  4 Pb 3.30, 1 Tl 3.31, 4 Sr 3.50
Pb (0.0000, 0.0000, 0.5000)  8 Tl 3.30, 2 Sr 3.67

=====

# AgSbRh2

AgSbRh2 at its PBEsol-relaxed geometry (SCAN, Alexandria via LeMat-Bulk).

Its raw formation energy is 0.4 eV/f.u. As for the energy above the lowest structure with this stoichiometry: 290 meV/atom. The final energy is -33.949 eV per atom.

Cell: 2.9731 3.9683 5.5093 Å, 90.00 90.00 90.00°
Closest atoms and distances in Å follow each position.
Fractional coordinates of all 4 atoms:
Ag (0.0000, 0.0000, 0.0000)  6 Rh 2.67-2.84, 2 Ag 2.97
Sb (0.5000, 0.5000, 0.6916)  6 Rh 2.63-2.88
Rh (0.0000, 0.0000, 0.4849)  2 Ag 2.67-2.84, 4 Sb 2.73, 6 Rh 2.89-2.97
Rh (0.5000, 0.5000, 0.2139)  2 Sb 2.63-2.88, 4 Ag 2.75, 4 Rh 2.89

=====

# Na8Si6SnO18

Na8Si6SnO18 at its PBEsol-relaxed geometry (SCAN, Alexandria via LeMat-Bulk).

Its raw formation energy is -86.4 eV/f.u. The final energy is -9.947 eV per atom.

Cell: 7.3798 7.3798 7.3798 Å, 87.79 87.79 87.79°
Closest atoms and distances in Å follow each position.
Fractional coordinates of all 33 atoms:
Na (0.0000, 0.0000, 0.5000)  4 O 2.29-2.48
Na (0.0000, 0.5000, 0.0000)  4 O 2.29-2.48
Na (0.0000, 0.5000, 0.5000)  8 O 2.61-2.66
Na (0.2438, 0.2438, 0.2438)  6 O 2.26-2.48
Na (0.5000, 0.0000, 0.0000)  4 O 2.29-2.48
Na (0.5000, 0.0000, 0.5000)  8 O 2.61-2.66
Na (0.5000, 0.5000, 0.0000)  8 O 2.61-2.66
Na (0.7562, 0.7562, 0.7562)  6 O 2.26-2.48
Si (0.2650, 0.7217, 0.7217)  4 O 1.59-1.66
Si (0.2783, 0.2783, 0.7350)  4 O 1.59-1.66
Si (0.2783, 0.7350, 0.2783)  4 O 1.59-1.66
Si (0.7217, 0.2650, 0.7217)  4 O 1.59-1.66
Si (0.7217, 0.7217, 0.2650)  4 O 1.59-1.66
Si (0.7350, 0.2783, 0.2783)  4 O 1.59-1.66
Sn (0.0000, 0.0000, 0.0000)  6 O 2.06
O (0.0787, 0.8114, 0.8114)  1 Si 1.63
O (0.1886, 0.1886, 0.9213)  1 Si 1.63
O (0.1886, 0.9213, 0.1886)  1 Si 1.63
O (0.2110, 0.2110, 0.5483)  1 Si 1.59
O (0.2110, 0.5483, 0.2110)  1 Si 1.59
O (0.2419, 0.5000, 0.7581)  2 Si 1.66
O (0.2419, 0.7581, 0.5000)  2 Si 1.66
O (0.4517, 0.7890, 0.7890)  1 Si 1.59
O (0.5000, 0.2419, 0.7581)  2 Si 1.66
O (0.5000, 0.7581, 0.2419)  2 Si 1.66
O (0.5483, 0.2110, 0.2110)  1 Si 1.59
O (0.7581, 0.2419, 0.5000)  2 Si 1.66
O (0.7581, 0.5000, 0.2419)  2 Si 1.66
O (0.7890, 0.4517, 0.7890)  1 Si 1.59
O (0.7890, 0.7890, 0.4517)  1 Si 1.59
O (0.8114, 0.0787, 0.8114)  1 Si 1.63
O (0.8114, 0.8114, 0.0787)  1 Si 1.63
O (0.9213, 0.1886, 0.1886)  1 Si 1.63